Computed, not measured: Zr2AlIn after structural relaxation at the PBE level of DFT.

Unit cell a=5.256 b=5.256 c=5.645 alpha=97.44 beta=97.44 gamma=34.19
Element x y z (fractional)
1 Zr 0.248 0.248 0.237
2 Zr 0.752 0.752 0.763
3 Al 0.500 0.500 0.000
4 In 0.000 0.000 0.500



Computed, not measured: Zr4AlIn3 after structural relaxation at the PBE level of DFT.

Unit cell a=3.113 b=3.113 c=17.716 alpha=90.00 beta=90.00 gamma=90.00
Element x y z (fractional)
1 Zr 0.000 0.000 0.112
2 Zr 0.000 0.000 0.374
3 Zr 0.000 0.000 0.626
4 Zr 0.000 0.000 0.888
5 Al 0.500 0.500 0.000
6 In 0.500 0.500 0.244
7 In 0.500 0.500 0.500
8 In 0.500 0.500 0.756



Computed, not measured: ZrAlIn2 after structural relaxation at the PBE level of DFT.

Unit cell a=5.035 b=5.035 c=5.035 alpha=60.00 beta=60.00 gamma=60.00
Element x y z (fractional)
1 Zr 0.000 0.000 0.000
2 Al 0.250 0.250 0.250
3 In 0.500 0.500 0.500
4 In 0.750 0.750 0.750



Computed, not measured: Zr6AlIn2 after structural relaxation at the PBE level of DFT.

Unit cell a=8.236 b=8.236 c=8.236 alpha=146.48 beta=131.88 gamma=59.91
Element x y z (fractional)
1 Zr 0.082 0.338 0.744
2 Zr 0.239 0.000 0.239
3 Zr 0.405 0.662 0.744
4 Zr 0.595 0.338 0.256
5 Zr 0.761 0.000 0.761
6 Zr 0.918 0.662 0.256
7 Al 0.000 0.500 0.500
8 In 0.333 0.833 0.500
9 In 0.667 0.167 0.500



Computed, not measured: ZrAlIn2 after structural relaxation at the PBE level of DFT.

Unit cell a=9.996 b=9.996 c=9.996 alpha=18.64 beta=18.64 gamma=18.64
Element x y z (fractional)
1 Zr 0.000 0.000 0.000
2 Al 0.500 0.500 0.500
3 In 0.248 0.248 0.248
4 In 0.752 0.752 0.752



Computed, not measured: Zr2AlIn after structural relaxation at the PBE level of DFT.

Unit cell a=5.687 b=5.687 c=5.687 alpha=136.84 beta=136.84 gamma=62.69
Element x y z (fractional)
1 Zr 0.000 0.000 0.000
2 Zr 0.750 0.250 0.500
3 Al 0.250 0.750 0.500
4 In 0.500 0.500 0.000



Computed, not measured: Zr2AlIn after structural relaxation at the PBE level of DFT.

Unit cell a=3.219 b=3.219 c=8.311 alpha=90.00 beta=90.00 gamma=93.62
Element x y z (fractional)
1 Zr 0.000 0.000 0.000
2 Zr 0.500 0.500 0.278
3 Al 0.500 0.500 0.777
4 In 0.000 0.000 0.541



Computed, not measured: ZrAlIn2 after structural relaxation at the PBE level of DFT.

Unit cell a=5.661 b=5.661 c=5.661 alpha=136.83 beta=136.83 gamma=62.71
Element x y z (fractional)
1 Zr 0.000 0.000 0.000
2 Al 0.500 0.500 0.000
3 In 0.250 0.750 0.500
4 In 0.750 0.250 0.500



| no. | energy of formation from the pure elements (eV per formula unit) |
| --- | --- |
| 1 | -0.7 |
| 2 | -2.8 |
| 3 | 0.8 |
| 4 | 1.7 |
| 5 | -0.2 |
| 6 | -1.3 |
| 7 | -0.4 |
| 8 | -1.1 |